Here is a geometry-optimized SbPt2F structure from the Alexandria database. Energies are from PBE.

As for the raw formation energy: -39.1 kJ/mol of atoms. The size of the total moment comes out at 0.0 μB per formula unit. The calculation puts the calculated density at 13.8 g cm⁻³. The calculated volume is 15.92 Å³/atom. The raw total energy is -4.924 eV per atom.

The space group is Fm-3m (No. 225) and the conventional cell measures 6.340, 6.340 and 6.340 Å, with angles of 90.00, 90.00 and 90.00 degrees. The distinct sites, in fractional coordinates, are Sb at (0.000, 0.000, 0.000), Pt at (0.250, 0.250, 0.250) and F at (0.000, 0.000, 0.500).